No. 1
# GGA-PBE SbAsSe2, relaxed
# - energy above the lowest structure with this stoichiometry (eV/f.u.) = 1.18
# - crystal system = tetragonal
# - DFT total energy (eV per formula unit) = -14.709
# - SG = I-4m2, No. 119
data_SbAsSe2
_symmetry_space_group_name_H-M 'P 1'
_symmetry_Int_Tables_number 1
_cell_length_a 7.303
_cell_length_b 7.303
_cell_length_c 7.303
_cell_angle_alpha 149.08
_cell_angle_beta 149.08
_cell_angle_gamma 44.29
loop_
_symmetry_equiv_pos_as_xyz
'x,y,z'
loop_
_atom_site_label
_atom_site_type_symbol
_atom_site_fract_x
_atom_site_fract_y
_atom_site_fract_z
Sb1 Sb 0.750 0.250 0.500
As1 As 0.500 0.500 0.000
Se1 Se 0.000 0.000 0.000
Se2 Se 0.250 0.750 0.500

---

No. 2
# GGA-PBE Sb2AsSe, relaxed
# - energy above the lowest structure with this stoichiometry (eV/f.u.) = 0.05
# - crystal system = monoclinic
# - DFT total energy (eV per formula unit) = -16.405
# - SG = C2/m, No. 12
data_Sb2AsSe
_symmetry_space_group_name_H-M 'P 1'
_symmetry_Int_Tables_number 1
_cell_length_a 4.317
_cell_length_b 4.317
_cell_length_c 6.876
_cell_angle_alpha 71.72
_cell_angle_beta 71.72
_cell_angle_gamma 59.73
loop_
_symmetry_equiv_pos_as_xyz
'x,y,z'
loop_
_atom_site_label
_atom_site_type_symbol
_atom_site_fract_x
_atom_site_fract_y
_atom_site_fract_z
Sb1 Sb 0.004 0.004 0.988
Sb2 Sb 0.496 0.496 0.512
As1 As 0.750 0.750 0.750
Se1 Se 0.250 0.250 0.250

---

No. 3
# GGA-PBE Sb4AsSe, relaxed
# - crystal system = cubic
# - DFT total energy (eV per formula unit) = -20.992
# - SG = F-43m, No. 216
data_Sb4AsSe
_symmetry_space_group_name_H-M 'P 1'
_symmetry_Int_Tables_number 1
_cell_length_a 6.132
_cell_length_b 6.132
_cell_length_c 6.132
_cell_angle_alpha 60.00
_cell_angle_beta 60.00
_cell_angle_gamma 60.00
loop_
_symmetry_equiv_pos_as_xyz
'x,y,z'
loop_
_atom_site_label
_atom_site_type_symbol
_atom_site_fract_x
_atom_site_fract_y
_atom_site_fract_z
Sb1 Sb 0.872 0.376 0.376
Sb2 Sb 0.376 0.376 0.872
Sb3 Sb 0.376 0.872 0.376
Sb4 Sb 0.376 0.376 0.376
As1 As 0.000 0.000 0.000
Se1 Se 0.750 0.750 0.750

---

No. 4
# GGA-PBE SbAsSe2, relaxed
# - energy above the lowest structure with this stoichiometry (eV/f.u.) = 0.42
# - crystal system = trigonal
# - DFT total energy (eV per formula unit) = -15.476
# - SG = R3m, No. 160
data_SbAsSe2
_symmetry_space_group_name_H-M 'P 1'
_symmetry_Int_Tables_number 1
_cell_length_a 7.044
_cell_length_b 7.044
_cell_length_c 7.044
_cell_angle_alpha 33.72
_cell_angle_beta 33.72
_cell_angle_gamma 33.72
loop_
_symmetry_equiv_pos_as_xyz
'x,y,z'
loop_
_atom_site_label
_atom_site_type_symbol
_atom_site_fract_x
_atom_site_fract_y
_atom_site_fract_z
Sb1 Sb 0.753 0.753 0.753
As1 As 0.502 0.502 0.502
Se1 Se 0.001 0.001 0.001
Se2 Se 0.244 0.244 0.244

---

No. 5
# GGA-PBE SbAs2Se6, relaxed
# - crystal system = monoclinic
# - DFT total energy (eV per formula unit) = -34.768
# - SG = C2/c, No. 15
data_SbAs2Se6
_symmetry_space_group_name_H-M 'P 1'
_symmetry_Int_Tables_number 1
_cell_length_a 7.084
_cell_length_b 8.821
_cell_length_c 8.821
_cell_angle_alpha 75.60
_cell_angle_beta 68.16
_cell_angle_gamma 68.16
loop_
_symmetry_equiv_pos_as_xyz
'x,y,z'
loop_
_atom_site_label
_atom_site_type_symbol
_atom_site_fract_x
_atom_site_fract_y
_atom_site_fract_z
Sb1 Sb 0.250 0.081 0.919
Sb2 Sb 0.750 0.919 0.081
As1 As 0.059 0.630 0.792
As2 As 0.441 0.208 0.370
As3 As 0.941 0.370 0.208
As4 As 0.559 0.792 0.630
Se1 Se 0.390 0.641 0.497
Se2 Se 0.110 0.503 0.359
Se3 Se 0.610 0.359 0.503
Se4 Se 0.890 0.497 0.641
Se5 Se 0.783 0.928 0.385
Se6 Se 0.717 0.615 0.072
Se7 Se 0.217 0.072 0.615
Se8 Se 0.283 0.385 0.928
Se9 Se 0.196 0.766 0.966
Se10 Se 0.304 0.034 0.234
Se11 Se 0.804 0.234 0.034
Se12 Se 0.696 0.966 0.766

---

No. 6
# GGA-PBE SbAsSe2, relaxed
# - energy above the lowest structure with this stoichiometry (eV/f.u.) = 1.66
# - crystal system = cubic
# - DFT total energy (eV per formula unit) = -14.229
# - SG = F-43m, No. 216
data_SbAsSe2
_symmetry_space_group_name_H-M 'P 1'
_symmetry_Int_Tables_number 1
_cell_length_a 4.978
_cell_length_b 4.978
_cell_length_c 4.978
_cell_angle_alpha 60.00
_cell_angle_beta 60.00
_cell_angle_gamma 60.00
loop_
_symmetry_equiv_pos_as_xyz
'x,y,z'
loop_
_atom_site_label
_atom_site_type_symbol
_atom_site_fract_x
_atom_site_fract_y
_atom_site_fract_z
Sb1 Sb 0.250 0.250 0.250
As1 As 0.500 0.500 0.500
Se1 Se 0.000 0.000 0.000
Se2 Se 0.750 0.750 0.750

---

No. 7
# GGA-PBE SbAsSe, relaxed
# - energy above the lowest structure with this stoichiometry (eV/f.u.) = 0.92
# - crystal system = cubic
# - DFT total energy (eV per formula unit) = -11.320
# - SG = F-43m, No. 216
data_SbAsSe
_symmetry_space_group_name_H-M 'P 1'
_symmetry_Int_Tables_number 1
_cell_length_a 4.837
_cell_length_b 4.837
_cell_length_c 4.837
_cell_angle_alpha 60.00
_cell_angle_beta 60.00
_cell_angle_gamma 60.00
loop_
_symmetry_equiv_pos_as_xyz
'x,y,z'
loop_
_atom_site_label
_atom_site_type_symbol
_atom_site_fract_x
_atom_site_fract_y
_atom_site_fract_z
Sb1 Sb 0.750 0.750 0.750
As1 As 0.500 0.500 0.500
Se1 Se 0.000 0.000 0.000

---

No. 8
# GGA-PBE Sb2AsSe2, relaxed
# - crystal system = tetragonal
# - DFT total energy (eV per formula unit) = -19.445
# - SG = P4/mbm, No. 127
data_Sb2AsSe2
_symmetry_space_group_name_H-M 'P 1'
_symmetry_Int_Tables_number 1
_cell_length_a 8.315
_cell_length_b 8.315
_cell_length_c 3.820
_cell_angle_alpha 90.00
_cell_angle_beta 90.00
_cell_angle_gamma 90.00
loop_
_symmetry_equiv_pos_as_xyz
'x,y,z'
loop_
_atom_site_label
_atom_site_type_symbol
_atom_site_fract_x
_atom_site_fract_y
_atom_site_fract_z
Sb1 Sb 0.296 0.796 0.000
Sb2 Sb 0.796 0.704 0.000
Sb3 Sb 0.704 0.204 0.000
Sb4 Sb 0.204 0.296 0.000
As1 As 0.000 0.000 0.000
As2 As 0.500 0.500 0.000
Se1 Se 0.138 0.638 0.500
Se2 Se 0.638 0.862 0.500
Se3 Se 0.862 0.362 0.500
Se4 Se 0.362 0.138 0.500

---

No. 9
# GGA-PBE SbAs4Se, relaxed
# - crystal system = cubic
# - DFT total energy (eV per formula unit) = -23.204
# - SG = F-43m, No. 216
data_SbAs4Se
_symmetry_space_group_name_H-M 'P 1'
_symmetry_Int_Tables_number 1
_cell_length_a 5.752
_cell_length_b 5.752
_cell_length_c 5.752
_cell_angle_alpha 60.00
_cell_angle_beta 60.00
_cell_angle_gamma 60.00
loop_
_symmetry_equiv_pos_as_xyz
'x,y,z'
loop_
_atom_site_label
_atom_site_type_symbol
_atom_site_fract_x
_atom_site_fract_y
_atom_site_fract_z
Sb1 Sb 0.750 0.750 0.750
As1 As 0.912 0.363 0.363
As2 As 0.363 0.363 0.912
As3 As 0.363 0.912 0.363
As4 As 0.363 0.363 0.363
Se1 Se 0.000 0.000 0.000

---

No. 10
# GGA-PBE SbAsSe, relaxed
# - energy above the lowest structure with this stoichiometry (eV/f.u.) = 1.03
# - crystal system = orthorhombic
# - DFT total energy (eV per formula unit) = -11.209
# - SG = Fmm2, No. 42
data_SbAsSe
_symmetry_space_group_name_H-M 'P 1'
_symmetry_Int_Tables_number 1
_cell_length_a 7.265
_cell_length_b 6.929
_cell_length_c 3.380
_cell_angle_alpha 81.84
_cell_angle_beta 70.74
_cell_angle_gamma 27.42
loop_
_symmetry_equiv_pos_as_xyz
'x,y,z'
loop_
_atom_site_label
_atom_site_type_symbol
_atom_site_fract_x
_atom_site_fract_y
_atom_site_fract_z
Sb1 Sb 0.334 0.334 0.666
As1 As 0.010 0.010 0.990
Se1 Se 0.656 0.656 0.344

---

No. 11
# GGA-PBE Sb2AsSe, relaxed
# - energy above the lowest structure with this stoichiometry (eV/f.u.) = 0.25
# - crystal system = orthorhombic
# - DFT total energy (eV per formula unit) = -16.205
# - SG = Cmmm, No. 65
data_Sb2AsSe
_symmetry_space_group_name_H-M 'P 1'
_symmetry_Int_Tables_number 1
_cell_length_a 4.127
_cell_length_b 5.173
_cell_length_c 5.175
_cell_angle_alpha 71.36
_cell_angle_beta 90.00
_cell_angle_gamma 90.00
loop_
_symmetry_equiv_pos_as_xyz
'x,y,z'
loop_
_atom_site_label
_atom_site_type_symbol
_atom_site_fract_x
_atom_site_fract_y
_atom_site_fract_z
Sb1 Sb 0.000 0.991 0.991
Sb2 Sb 0.000 0.509 0.509
As1 As 0.500 0.750 0.750
Se1 Se 0.500 0.250 0.250

---

No. 12
# GGA-PBE SbAsSe2, relaxed
# - energy above the lowest structure with this stoichiometry (eV/f.u.) = 0.71
# - crystal system = tetragonal
# - DFT total energy (eV per formula unit) = -15.187
# - SG = I-42d, No. 122
data_SbAsSe2
_symmetry_space_group_name_H-M 'P 1'
_symmetry_Int_Tables_number 1
_cell_length_a 7.537
_cell_length_b 7.537
_cell_length_c 6.368
_cell_angle_alpha 53.72
_cell_angle_beta 53.72
_cell_angle_gamma 90.00
loop_
_symmetry_equiv_pos_as_xyz
'x,y,z'
loop_
_atom_site_label
_atom_site_type_symbol
_atom_site_fract_x
_atom_site_fract_y
_atom_site_fract_z
Sb1 Sb 0.000 0.000 0.000
Sb2 Sb 0.750 0.250 0.500
As1 As 0.500 0.500 0.000
As2 As 0.250 0.750 0.500
Se1 Se 0.606 0.125 0.250
Se2 Se 0.144 0.625 0.250
Se3 Se 0.375 0.394 0.750
Se4 Se 0.875 0.856 0.750

---

No. 13
# GGA-PBE SbAsSe2, relaxed
# - energy above the lowest structure with this stoichiometry (eV/f.u.) = 0.81
# - crystal system = orthorhombic
# - DFT total energy (eV per formula unit) = -15.083
# - SG = Cmm2, No. 35
data_SbAsSe2
_symmetry_space_group_name_H-M 'P 1'
_symmetry_Int_Tables_number 1
_cell_length_a 4.187
_cell_length_b 4.187
_cell_length_c 9.163
_cell_angle_alpha 90.00
_cell_angle_beta 90.00
_cell_angle_gamma 127.00
loop_
_symmetry_equiv_pos_as_xyz
'x,y,z'
loop_
_atom_site_label
_atom_site_type_symbol
_atom_site_fract_x
_atom_site_fract_y
_atom_site_fract_z
Sb1 Sb 0.500 0.500 0.748
As1 As 0.000 0.000 0.489
Se1 Se 0.000 0.000 0.944
Se2 Se 0.500 0.500 0.319

---

No. 14
# GGA-PBE SbAsSe2, relaxed
# - energy above the lowest structure with this stoichiometry (eV/f.u.) = 1.25
# - crystal system = orthorhombic
# - DFT total energy (eV per formula unit) = -14.639
# - SG = Pmmm, No. 47
data_SbAsSe2
_symmetry_space_group_name_H-M 'P 1'
_symmetry_Int_Tables_number 1
_cell_length_a 3.842
_cell_length_b 6.831
_cell_length_c 3.953
_cell_angle_alpha 90.00
_cell_angle_beta 90.00
_cell_angle_gamma 90.00
loop_
_symmetry_equiv_pos_as_xyz
'x,y,z'
loop_
_atom_site_label
_atom_site_type_symbol
_atom_site_fract_x
_atom_site_fract_y
_atom_site_fract_z
Sb1 Sb 0.000 0.500 0.500
As1 As 0.500 0.000 0.500
Se1 Se 0.000 0.000 0.000
Se2 Se 0.500 0.500 0.000

---

No. 15
# GGA-PBE SiSbAs2Se, relaxed
# - energy above the lowest structure with this stoichiometry (eV/f.u.) = 3.18
# - crystal system = tetragonal
# - DFT total energy (eV per formula unit) = -16.818
# - SG = P4/mmm, No. 123
data_SiSbAs2Se
_symmetry_space_group_name_H-M 'P 1'
_symmetry_Int_Tables_number 1
_cell_length_a 5.241
_cell_length_b 5.241
_cell_length_c 5.280
_cell_angle_alpha 90.00
_cell_angle_beta 90.00
_cell_angle_gamma 90.00
loop_
_symmetry_equiv_pos_as_xyz
'x,y,z'
loop_
_atom_site_label
_atom_site_type_symbol
_atom_site_fract_x
_atom_site_fract_y
_atom_site_fract_z
Sb1 Sb 0.000 0.000 0.000
As1 As 0.000 0.500 0.000
As2 As 0.500 0.000 0.000
Si1 Si 0.500 0.500 0.500
Se1 Se 0.000 0.000 0.500

---

No. 16
# GGA-PBE SiSbAs2Se, relaxed
# - energy above the lowest structure with this stoichiometry (eV/f.u.) = 0.00
# - crystal system = tetragonal
# - DFT total energy (eV per formula unit) = -20.000
# - SG = P4/mmm, No. 123
data_SiSbAs2Se
_symmetry_space_group_name_H-M 'P 1'
_symmetry_Int_Tables_number 1
_cell_length_a 4.845
_cell_length_b 4.845
_cell_length_c 4.783
_cell_angle_alpha 90.00
_cell_angle_beta 90.00
_cell_angle_gamma 90.00
loop_
_symmetry_equiv_pos_as_xyz
'x,y,z'
loop_
_atom_site_label
_atom_site_type_symbol
_atom_site_fract_x
_atom_site_fract_y
_atom_site_fract_z
Sb1 Sb 0.500 0.500 0.500
As1 As 0.000 0.500 0.000
As2 As 0.500 0.000 0.000
Si1 Si 0.000 0.000 0.000
Se1 Se 0.000 0.000 0.500

---

No. 17
# GGA-PBE Sm6Sb3As2Se, relaxed
# - crystal system = monoclinic
# - DFT total energy (eV per formula unit) = -70.405
# - SG = C2/m, No. 12
data_Sm6Sb3As2Se
_symmetry_space_group_name_H-M 'P 1'
_symmetry_Int_Tables_number 1
_cell_length_a 4.330
_cell_length_b 8.701
_cell_length_c 9.706
_cell_angle_alpha 103.19
_cell_angle_beta 102.89
_cell_angle_gamma 90.00
loop_
_symmetry_equiv_pos_as_xyz
'x,y,z'
loop_
_atom_site_label
_atom_site_type_symbol
_atom_site_fract_x
_atom_site_fract_y
_atom_site_fract_z
Sm1 Sm 0.334 0.905 0.668
Sm2 Sm 0.670 0.574 0.341
Sm3 Sm 0.666 0.095 0.332
Sm4 Sm 0.004 0.248 0.009
Sm5 Sm 0.996 0.752 0.991
Sm6 Sm 0.330 0.426 0.659
Sb1 Sb 0.500 0.500 0.000
Sb2 Sb 0.835 0.167 0.670
Sb3 Sb 0.165 0.833 0.330
As1 As 0.833 0.668 0.667
As2 As 0.167 0.332 0.333
Se1 Se 0.500 0.000 0.000

---

No. 18
# GGA-PBE Sm6Sb2As3Se, relaxed
# - crystal system = monoclinic
# - DFT total energy (eV per formula unit) = -71.720
# - SG = C2/m, No. 12
data_Sm6Sb2As3Se
_symmetry_space_group_name_H-M 'P 1'
_symmetry_Int_Tables_number 1
_cell_length_a 4.286
_cell_length_b 8.625
_cell_length_c 9.614
_cell_angle_alpha 103.25
_cell_angle_beta 102.88
_cell_angle_gamma 90.00
loop_
_symmetry_equiv_pos_as_xyz
'x,y,z'
loop_
_atom_site_label
_atom_site_type_symbol
_atom_site_fract_x
_atom_site_fract_y
_atom_site_fract_z
Sm1 Sm 0.332 0.928 0.665
Sm2 Sm 0.663 0.593 0.325
Sm3 Sm 0.668 0.072 0.335
Sm4 Sm 0.996 0.255 0.992
Sm5 Sm 0.004 0.745 0.008
Sm6 Sm 0.337 0.407 0.675
Sb1 Sb 0.834 0.668 0.668
Sb2 Sb 0.166 0.332 0.332
As1 As 0.500 0.500 0.000
As2 As 0.833 0.165 0.667
As3 As 0.167 0.835 0.333
Se1 Se 0.500 0.000 0.000

---

No. 19
# GGA-PBE Sm4Sb2AsSe, relaxed
# - crystal system = monoclinic
# - DFT total energy (eV per formula unit) = -46.797
# - SG = P2/m, No. 10
data_Sm4Sb2AsSe
_symmetry_space_group_name_H-M 'P 1'
_symmetry_Int_Tables_number 1
_cell_length_a 4.333
_cell_length_b 7.521
_cell_length_c 7.498
_cell_angle_alpha 70.65
_cell_angle_beta 90.00
_cell_angle_gamma 90.00
loop_
_symmetry_equiv_pos_as_xyz
'x,y,z'
loop_
_atom_site_label
_atom_site_type_symbol
_atom_site_fract_x
_atom_site_fract_y
_atom_site_fract_z
Sm1 Sm 0.000 0.739 0.749
Sm2 Sm 0.000 0.261 0.251
Sm3 Sm 0.500 0.736 0.259
Sm4 Sm 0.500 0.264 0.741
Sb1 Sb 0.000 0.000 0.000
Sb2 Sb 0.500 0.000 0.500
As1 As 0.000 0.500 0.500
Se1 Se 0.500 0.500 0.000

---

No. 20
# GGA-PBE Sm6Sb2AsSe3, relaxed
# - crystal system = monoclinic
# - DFT total energy (eV per formula unit) = -70.528
# - SG = C2/m, No. 12
data_Sm6Sb2AsSe3
_symmetry_space_group_name_H-M 'P 1'
_symmetry_Int_Tables_number 1
_cell_length_a 4.288
_cell_length_b 8.573
_cell_length_c 9.588
_cell_angle_alpha 102.63
_cell_angle_beta 102.92
_cell_angle_gamma 90.00
loop_
_symmetry_equiv_pos_as_xyz
'x,y,z'
loop_
_atom_site_label
_atom_site_type_symbol
_atom_site_fract_x
_atom_site_fract_y
_atom_site_fract_z
Sm1 Sm 0.339 0.926 0.677
Sm2 Sm 0.662 0.590 0.325
Sm3 Sm 0.661 0.074 0.323
Sm4 Sm 0.998 0.238 0.995
Sm5 Sm 0.002 0.762 0.005
Sm6 Sm 0.338 0.410 0.675
Sb1 Sb 0.833 0.666 0.666
Sb2 Sb 0.167 0.334 0.334
As1 As 0.500 0.000 0.000
Se1 Se 0.500 0.500 0.000
Se2 Se 0.832 0.165 0.663
Se3 Se 0.168 0.835 0.337